No. 1
# PrSmS3

A geometry-optimized PrSmS3 structure (PBE-GGA, Alexandria via LeMat-Bulk).

Properties
Formation energy (no corrections), eV per atom: -2.07
Final energy, eV per cell: -129.00
V, Å³ per cell: 475
Relative energy among the computed polymorphs, eV/f.u.: 0.000

Cell: 4.0580 7.4938 15.6275 Å, 90.00 90.00 90.00°
Last column: nearest neighbours and their distance in Å.
Fractional coordinates of all 20 atoms:
Pr1 0.7500 0.8555 0.7973  8 S 2.85-3.14
Pr2 0.2500 0.1445 0.2027  8 S 2.85-3.14
Pr3 0.7500 0.3555 0.7027  8 S 2.85-3.14
Pr4 0.2500 0.6445 0.2973  8 S 2.85-3.14
Sm1 0.2500 0.2664 0.9562  7 S 2.81-2.99
Sm2 0.2500 0.7664 0.5438  7 S 2.81-2.99
Sm3 0.7500 0.2336 0.4562  7 S 2.81-2.99
Sm4 0.7500 0.7336 0.0438  7 S 2.81-2.99
S1 0.2500 0.3744 0.5647  3 Sm 2.85-2.96, 2 Pr 2.96, 1 S 3.14
S2 0.7500 0.8532 0.2172  4 Pr 2.85-2.99, 1 Sm 2.85, 1 S 3.14
S3 0.7500 0.4890 0.8929  3 Sm 2.81-2.99, 2 Pr 3.13-3.14
S4 0.7500 0.9890 0.6071  3 Sm 2.81-2.99, 2 Pr 3.13-3.14
S5 0.7500 0.6256 0.4353  3 Sm 2.85-2.96, 2 Pr 2.96, 1 S 3.14
S6 0.2500 0.0110 0.3929  3 Sm 2.81-2.99, 2 Pr 3.13-3.14
S7 0.2500 0.8744 0.9353  3 Sm 2.85-2.96, 2 Pr 2.96, 1 S 3.14
S8 0.7500 0.3532 0.2828  4 Pr 2.85-2.99, 1 Sm 2.85, 1 S 3.14
S9 0.2500 0.6468 0.7172  4 Pr 2.85-2.99, 1 Sm 2.85, 1 S 3.14
S10 0.2500 0.1468 0.7828  4 Pr 2.85-2.99, 1 Sm 2.85, 1 S 3.14
S11 0.7500 0.1256 0.0647  3 Sm 2.85-2.96, 2 Pr 2.96, 1 S 3.14
S12 0.2500 0.5110 0.1071  3 Sm 2.81-2.99, 2 Pr 3.13-3.14

=====

No. 2
# LaHgSe3

A geometry-optimized LaHgSe3 structure (PBE-GGA, Alexandria via LeMat-Bulk).

Properties
Formation energy (no corrections), eV per atom: -0.50
Final energy, eV per cell: -18.16
V, Å³ per cell: 141
Relative energy among the computed polymorphs, eV/f.u.: 0.000

Cell: 5.2110 5.2110 5.2110 Å, 90.00 90.00 90.00°
Last column: nearest neighbours and their distance in Å.
Fractional coordinates of all 5 atoms:
Hg1 0.0000 0.0000 0.0000  6 Se 2.61
Se1 0.0000 0.5000 0.0000  2 Hg 2.61
Se2 0.0000 0.0000 0.5000  2 Hg 2.61
Se3 0.5000 0.0000 0.0000  2 Hg 2.61
La1 0.5000 0.5000 0.5000  12 Se 3.68

=====

No. 3
# LiMnCoNi

A geometry-optimized LiMnCoNi structure (PBE-GGA, Alexandria via LeMat-Bulk).

Properties
Final energy, eV per cell: -23.51
V, Å³ per cell: 44

Cell: 3.9712 3.9712 3.9712 Å, 60.00 60.00 60.00°
Last column: nearest neighbours and their distance in Å.
Fractional coordinates of all 4 atoms:
Ni1 0.2500 0.2500 0.2500  4 Mn 2.43, 4 Li 2.43
Mn1 0.0000 0.0000 0.0000  4 Co 2.43, 4 Ni 2.43
Co1 0.7500 0.7500 0.7500  4 Li 2.43, 4 Mn 2.43
Li1 0.5000 0.5000 0.5000  4 Co 2.43, 4 Ni 2.43